Entry 1:
GaAgHgSb, optimized geometry, DFT PBE; V = 91.2 Å³ per cell; formation energy (no corrections) = 0.14 eV/atom; space-group type = F-43m (216)
1.0
0.000 3.573 3.573
3.573 0.000 3.573
3.573 3.573 0.000
Ga Ag Hg Sb
1 1 1 1
direct
0.000 0.000 0.000
0.500 0.500 0.500
0.750 0.750 0.750
0.250 0.250 0.250

***

Entry 2:
MgZrRe2, optimized geometry, DFT PBE; V = 70.5 Å³ per cell; E_form = 0.212 eV per atom; space-group type = Cmm2 (35)
1.0
1.605 -2.306 0.000
1.605 2.306 0.000
0.000 0.000 9.521
Mg Zr Re
1 1 2
direct
0.000 0.000 0.000
0.500 0.500 0.707
0.000 0.000 0.462
0.500 0.500 0.243

***

Entry 3:
NpTeN, optimized geometry, DFT PBE; ΔE to the lowest computed polymorph = 459 meV/atom; V = 62.2 Å³ per cell; formation energy (no corrections) = -0.54 eV/atom; space-group type = I4mm (107)
1.0
-1.596 1.596 6.101
1.596 -1.596 6.101
1.596 1.596 -6.101
Np Te N
1 1 1
direct
0.000 0.000 0.000
0.271 0.271 0.000
0.539 0.539 0.000

***

Entry 4:
SmY3Tm2, optimized geometry, DFT PBE; V = 380.4 Å³ per cell; E_form = 0.025 eV per atom; space-group type = C2/c (15)
1.0
8.704 -3.553 0.000
8.704 3.553 0.000
-0.006 0.000 6.151
Sm Y Tm
2 6 4
direct
0.126 0.874 0.750
0.874 0.126 0.250
0.042 0.293 0.916
0.293 0.042 0.416
0.376 0.624 0.250
0.624 0.376 0.750
0.707 0.958 0.584
0.958 0.707 0.084
0.208 0.457 0.583
0.457 0.208 0.083
0.543 0.792 0.917
0.792 0.543 0.417

***

Entry 5:
KSc5O8, optimized geometry, DFT PBE; V = 190.8 Å³ per cell; formation energy (no corrections) = -3.27 eV/atom; space-group type = Cm (8)
1.0
8.044 -1.596 0.000
8.044 1.596 0.000
-2.176 0.000 7.432
K Sc O
1 5 8
direct
0.000 0.000 0.000
0.156 0.156 0.430
0.200 0.200 0.832
0.500 0.500 0.500
0.801 0.801 0.167
0.844 0.844 0.570
0.082 0.082 0.622
0.271 0.271 0.360
0.324 0.324 0.024
0.419 0.419 0.683
0.581 0.581 0.317
0.677 0.677 0.976
0.730 0.730 0.640
0.919 0.919 0.378

***

Entry 6:
AlBiBr3, optimized geometry, DFT PBE; V = 202.6 Å³ per cell; formation energy (no corrections) = -0.16 eV/atom; space-group type = Pm-3m (221)
1.0
5.873 0.000 0.000
0.000 5.873 0.000
0.000 0.000 5.873
Al Bi Br
1 1 3
direct
0.000 0.000 0.000
0.500 0.500 0.500
0.000 0.500 0.500
0.500 0.000 0.500
0.500 0.500 0.000

***

Entry 7:
HfMnN2, optimized geometry, DFT PBE; V = 39.7 Å³ per cell; formation energy (no corrections) = -0.93 eV/atom; space-group type = R-3m (166)
1.0
1.575 0.909 4.612
-1.575 0.909 4.612
0.000 -1.819 4.612
Hf Mn N
1 1 2
direct
0.000 0.000 0.000
0.500 0.500 0.500
0.244 0.244 0.244
0.756 0.756 0.756

***

Entry 8:
Nd5Mg2Sn5, optimized geometry, DFT PBE; V = 339.3 Å³ per cell; E_form = -0.629 eV per atom; space-group type = C2/m (12)
1.0
8.294 -2.405 0.000
8.294 2.405 0.000
-6.746 0.000 8.503
Nd Mg Sn
5 2 5
direct
0.000 0.000 0.000
0.098 0.098 0.419
0.191 0.191 0.831
0.809 0.809 0.169
0.902 0.902 0.581
0.353 0.353 0.741
0.647 0.647 0.259
0.258 0.258 0.325
0.433 0.433 0.135
0.500 0.500 0.500
0.567 0.567 0.865
0.742 0.742 0.675

***

no.,spin magnetization (Bohr magnetons per cell),N(E_F) (states/eV/atom),uncorrected energy (eV/atom)
1,0.00,0.51,-2.44
2,0.00,0.69,-8.55
3,3.18,1.78,-8.68
4,0.00,1.48,-5.48
5,0.00,0.00,-8.44
6,0.00,0.31,-2.69
7,1.04,0.64,-9.87
8,0.00,0.53,-4.55